1.
DFT (GGA-PBE) results for an optimized crystal structure of DyU2O6.

abc: 3.8373 3.8373 9.2008
angles: 90.00 90.00 120.00
Space group P-3m1 (No. 164)
One atom of each set of equivalent atoms:
Dy  0.0000  0.0000  0.0000
U  0.3333  0.6667  0.6707
O  0.0000  0.0000  0.2603
O  0.3333  0.6667  0.4192
O  0.3333  0.6667  0.9055

Values from the calculation:
The density of states at the Fermi level comes out at 8.359 states/eV/f.u. Its formation energy without anion corrections is -3.415 eV/atom. The density is 10.396 g cm⁻³.


2.
DFT (GGA-PBE) results for an optimized crystal structure of Dy2UO6.

abc: 3.841 5.355 11.114
angles: 90.00 90.00 90.00
Space group Immm (No. 71)
One atom of each set of equivalent atoms:
Dy  0.000  0.000  0.166
U  0.000  0.000  0.500
O  0.000  0.241  0.344
O  0.000  0.267  0.000

Values from the calculation:
The density of states at the Fermi level comes out at 0.000 states/eV/f.u. Its formation energy without anion corrections is -3.467 eV/atom. The polymorph energy (0 for the lowest one) is 0 meV per atom. The density is 9.574 g cm⁻³.


3.
DFT (GGA-PBE) results for an optimized crystal structure of Dy2UO6.

abc: 5.095 5.095 10.453
angles: 90.00 90.00 90.00
Space group P4_2/mnm (No. 136)
One atom of each set of equivalent atoms:
Dy  0.000  0.000  0.166
U  0.000  0.000  0.500
O  0.185  0.185  0.344
O  0.208  0.208  0.000

Values from the calculation:
The density of states at the Fermi level comes out at 0.000 states/eV/f.u. Its formation energy without anion corrections is -3.431 eV/atom. The polymorph energy (0 for the lowest one) is 36 meV per atom. The density is 8.066 g cm⁻³.


4.
DFT (GGA-PBE) results for an optimized crystal structure of DyUO5.

abc: 4.081 6.772 8.455
angles: 90.00 90.00 90.00
Space group Immm (No. 71)
One atom of each set of equivalent atoms:
Dy  0.000  0.000  0.000
U  0.000  0.000  0.500
O  0.000  0.000  0.281
O  0.000  0.329  0.000
O  0.000  0.500  0.500

Values from the calculation:
The density of states at the Fermi level comes out at 2.150 states/eV/f.u. Its formation energy without anion corrections is -2.728 eV/atom. The density is 6.829 g cm⁻³.